[1]
First-principles (PBE-GGA) data for a relaxed BaMgAs2Pb crystal, as listed in Alexandria.

extended XYZ file:
```
5
Lattice="-2.478 3.662 2.526 -4.349 -0.173 -4.014 -2.409 -3.535 2.763" Properties=species:S:1:pos:R:3 pbc="T T T"
Pb -4.618 -0.023 0.637
As -1.204 -1.768 1.381
As -1.239 1.831 1.263
Mg 0.000 0.000 0.000
Ba -2.175 -0.087 -2.007
```

Results
As for the symmetry: No. 123. The calculation puts the formation energy at 0.10 eV per atom.

[2]
First-principles (PBE-GGA) data for a relaxed Ca2YGaN crystal, as listed in Alexandria.

extended XYZ file:
```
5
Lattice="-0.967 0.543 4.763 -4.629 -1.368 -0.784 1.201 -4.499 0.756" Properties=species:S:1:pos:R:3 pbc="T T T"
Y 0.601 -2.250 0.378
Ca -2.314 -0.684 -0.392
Ca -0.483 0.271 2.381
Ga -2.197 -2.662 2.368
N 0.000 0.000 0.000
```

Results
As for the formation energy (no corrections): -0.763 eV per atom. As for the symmetry: No. 123.